Record 1
## K2SmHoO4 (PBE)

Data for crystalline K2SmHoO4 at its relaxed geometry.

Cell lengths 6.107, 3.526, 6.597 Å; angles 90.00, 107.94, 90.00 degrees
Fractional positions:
K 0.000 0.000 0.000
K 0.500 0.500 0.000
Sm 0.000 0.500 0.500
Ho 0.500 0.000 0.500
O 0.236 0.000 0.688
O 0.278 0.500 0.314
O 0.722 0.500 0.686
O 0.764 0.000 0.312

=====

Record 2
## K3Ho2SnO6 (PBE)

Data for crystalline K3Ho2SnO6 at its relaxed geometry.

Cell lengths 6.010, 6.010, 6.574 Å; angles 98.74, 98.74, 120.00 degrees
Fractional positions:
K 0.000 0.000 0.000
K 0.337 0.663 0.000
K 0.663 0.337 0.000
Ho 0.167 0.833 0.500
Ho 0.833 0.167 0.500
Sn 0.500 0.500 0.500
O 0.100 0.438 0.312
O 0.224 0.224 0.687
O 0.438 0.100 0.312
O 0.562 0.900 0.688
O 0.776 0.776 0.313
O 0.900 0.562 0.688

=====

Record 3
## K4Ho3SnO8 (PBE)

Data for crystalline K4Ho3SnO8 at its relaxed geometry.

Cell lengths 7.432, 7.432, 7.432 Å; angles 55.63, 55.63, 55.63 degrees
Fractional positions:
K 0.000 0.000 0.000
K 0.000 0.500 0.500
K 0.500 0.000 0.500
K 0.500 0.500 0.000
Ho 0.000 0.000 0.500
Ho 0.000 0.500 0.000
Ho 0.500 0.000 0.000
Sn 0.500 0.500 0.500
O 0.225 0.731 0.731
O 0.228 0.228 0.228
O 0.269 0.269 0.775
O 0.269 0.775 0.269
O 0.731 0.225 0.731
O 0.731 0.731 0.225
O 0.772 0.772 0.772
O 0.775 0.269 0.269

=====

Record 4
## K3Ho3TaO8 (PBE)

Data for crystalline K3Ho3TaO8 at its relaxed geometry.

Cell lengths 7.404, 7.404, 7.404 Å; angles 54.61, 54.61, 54.61 degrees
Fractional positions:
K 0.000 0.500 0.500
K 0.500 0.000 0.500
K 0.500 0.500 0.000
Ho 0.000 0.000 0.500
Ho 0.000 0.500 0.000
Ho 0.500 0.000 0.000
Ta 0.500 0.500 0.500
O 0.229 0.229 0.229
O 0.247 0.710 0.710
O 0.290 0.290 0.753
O 0.290 0.753 0.290
O 0.710 0.247 0.710
O 0.710 0.710 0.247
O 0.753 0.290 0.290
O 0.771 0.771 0.771

=====

| no. | uncorrected energy (eV per formula unit) |
| --- | --- |
| 1 | -53.076 |
| 2 | -73.539 |
| 3 | -100.391 |
| 4 | -109.701 |